# 1
An optimized crystal structure of BeFeGeW, computed with PBE-GGA.

Lattice parameters (Å, degrees): 5.826 5.826 5.826 90.00 90.00 90.00
Fractional positions:
1 Be 0.000 0.000 0.000
2 Be 0.000 0.500 0.500
3 Be 0.500 0.000 0.500
4 Be 0.500 0.500 0.000
5 Fe 0.000 0.000 0.500
6 Fe 0.000 0.500 0.000
7 Fe 0.500 0.000 0.000
8 Fe 0.500 0.500 0.500
9 Ge 0.250 0.250 0.250
10 Ge 0.250 0.750 0.750
11 Ge 0.750 0.250 0.750
12 Ge 0.750 0.750 0.250
13 W 0.250 0.250 0.750
14 W 0.250 0.750 0.250
15 W 0.750 0.250 0.250
16 W 0.750 0.750 0.750

## Properties
- space group = No. 216
- E_tot (eV for the cell shown) = -113.5
- spin magnetization (μB/f.u.) = 1.8
- energy above the most stable polymorph in this dataset (kcal/mol of atoms) = 0.17

---

# 2
An optimized crystal structure of Li2BeFeH6, computed with PBE-GGA.

Lattice parameters (Å, degrees): 4.422 4.422 4.422 60.00 60.00 60.00
Fractional positions:
1 Li 0.250 0.250 0.250
2 Li 0.750 0.750 0.750
3 Be 0.000 0.000 0.000
4 Fe 0.500 0.500 0.500
5 H 0.248 0.248 0.752
6 H 0.248 0.752 0.248
7 H 0.248 0.752 0.752
8 H 0.752 0.248 0.248
9 H 0.752 0.248 0.752
10 H 0.752 0.752 0.248

## Properties
- space group = No. 225
- E_tot (eV for the cell shown) = -37.6
- spin magnetization (μB/f.u.) = 0.0

---

# 3
An optimized crystal structure of HfBe2Fe, computed with PBE-GGA.

Lattice parameters (Å, degrees): 5.814 5.814 5.814 90.00 90.00 90.00
Fractional positions:
1 Hf 0.000 0.000 0.000
2 Hf 0.000 0.500 0.500
3 Hf 0.500 0.000 0.500
4 Hf 0.500 0.500 0.000
5 Be 0.000 0.000 0.500
6 Be 0.000 0.500 0.000
7 Be 0.250 0.250 0.250
8 Be 0.250 0.750 0.750
9 Be 0.500 0.000 0.000
10 Be 0.500 0.500 0.500
11 Be 0.750 0.250 0.750
12 Be 0.750 0.750 0.250
13 Fe 0.250 0.250 0.750
14 Fe 0.250 0.750 0.250
15 Fe 0.750 0.250 0.250
16 Fe 0.750 0.750 0.750

## Properties
- space group = No. 216
- E_tot (eV for the cell shown) = -101.8
- spin magnetization (μB/f.u.) = 0.0

---

# 4
An optimized crystal structure of Hf2BeFe, computed with PBE-GGA.

Lattice parameters (Å, degrees): 6.212 6.212 6.212 90.00 90.00 90.00
Fractional positions:
1 Hf 0.000 0.000 0.000
2 Hf 0.000 0.500 0.500
3 Hf 0.250 0.250 0.250
4 Hf 0.250 0.750 0.750
5 Hf 0.500 0.000 0.500
6 Hf 0.500 0.500 0.000
7 Hf 0.750 0.250 0.750
8 Hf 0.750 0.750 0.250
9 Be 0.000 0.000 0.500
10 Be 0.000 0.500 0.000
11 Be 0.500 0.000 0.000
12 Be 0.500 0.500 0.500
13 Fe 0.250 0.250 0.750
14 Fe 0.250 0.750 0.250
15 Fe 0.750 0.250 0.250
16 Fe 0.750 0.750 0.750

## Properties
- space group = No. 216
- E_tot (eV for the cell shown) = -124.3
- spin magnetization (μB/f.u.) = 0.0

---

# 5
An optimized crystal structure of HfBeFePb, computed with PBE-GGA.

Lattice parameters (Å, degrees): 6.512 6.512 6.512 90.00 90.00 90.00
Fractional positions:
1 Hf 0.000 0.000 0.000
2 Hf 0.000 0.500 0.500
3 Hf 0.500 0.000 0.500
4 Hf 0.500 0.500 0.000
5 Be 0.000 0.000 0.500
6 Be 0.000 0.500 0.000
7 Be 0.500 0.000 0.000
8 Be 0.500 0.500 0.500
9 Fe 0.250 0.250 0.250
10 Fe 0.250 0.750 0.750
11 Fe 0.750 0.250 0.750
12 Fe 0.750 0.750 0.250
13 Pb 0.250 0.250 0.750
14 Pb 0.250 0.750 0.250
15 Pb 0.750 0.250 0.250
16 Pb 0.750 0.750 0.750

## Properties
- space group = No. 216
- E_tot (eV for the cell shown) = -94.5
- spin magnetization (μB/f.u.) = 1.7
- energy above the most stable polymorph in this dataset (kcal/mol of atoms) = 5.76

---

# 6
An optimized crystal structure of HfBeFePb, computed with PBE-GGA.

Lattice parameters (Å, degrees): 6.298 6.298 6.298 90.00 90.00 90.00
Fractional positions:
1 Hf 0.000 0.000 0.000
2 Hf 0.000 0.500 0.500
3 Hf 0.500 0.000 0.500
4 Hf 0.500 0.500 0.000
5 Be 0.250 0.250 0.250
6 Be 0.250 0.750 0.750
7 Be 0.750 0.250 0.750
8 Be 0.750 0.750 0.250
9 Fe 0.250 0.250 0.750
10 Fe 0.250 0.750 0.250
11 Fe 0.750 0.250 0.250
12 Fe 0.750 0.750 0.750
13 Pb 0.000 0.000 0.500
14 Pb 0.000 0.500 0.000
15 Pb 0.500 0.000 0.000
16 Pb 0.500 0.500 0.500

## Properties
- space group = No. 216
- E_tot (eV for the cell shown) = -98.5
- spin magnetization (μB/f.u.) = 0.0
- energy above the most stable polymorph in this dataset (kcal/mol of atoms) = 0.00

---

# 7
An optimized crystal structure of HfBeFePb, computed with PBE-GGA.

Lattice parameters (Å, degrees): 6.460 6.460 6.460 90.00 90.00 90.00
Fractional positions:
1 Hf 0.000 0.000 0.000
2 Hf 0.000 0.500 0.500
3 Hf 0.500 0.000 0.500
4 Hf 0.500 0.500 0.000
5 Be 0.250 0.250 0.250
6 Be 0.250 0.750 0.750
7 Be 0.750 0.250 0.750
8 Be 0.750 0.750 0.250
9 Fe 0.000 0.000 0.500
10 Fe 0.000 0.500 0.000
11 Fe 0.500 0.000 0.000
12 Fe 0.500 0.500 0.500
13 Pb 0.250 0.250 0.750
14 Pb 0.250 0.750 0.250
15 Pb 0.750 0.250 0.250
16 Pb 0.750 0.750 0.750

## Properties
- space group = No. 216
- E_tot (eV for the cell shown) = -94.4
- spin magnetization (μB/f.u.) = 1.7
- energy above the most stable polymorph in this dataset (kcal/mol of atoms) = 5.85

---

# 8
An optimized crystal structure of HfBeFeSn, computed with PBE-GGA.

Lattice parameters (Å, degrees): 6.284 6.284 6.284 90.00 90.00 90.00
Fractional positions:
1 Hf 0.000 0.000 0.000
2 Hf 0.000 0.500 0.500
3 Hf 0.500 0.000 0.500
4 Hf 0.500 0.500 0.000
5 Be 0.250 0.250 0.750
6 Be 0.250 0.750 0.250
7 Be 0.750 0.250 0.250
8 Be 0.750 0.750 0.750
9 Fe 0.000 0.000 0.500
10 Fe 0.000 0.500 0.000
11 Fe 0.500 0.000 0.000
12 Fe 0.500 0.500 0.500
13 Sn 0.250 0.250 0.250
14 Sn 0.250 0.750 0.750
15 Sn 0.750 0.250 0.750
16 Sn 0.750 0.750 0.250

## Properties
- space group = No. 216
- E_tot (eV for the cell shown) = -99.8
- spin magnetization (μB/f.u.) = 0.4
- energy above the most stable polymorph in this dataset (kcal/mol of atoms) = 7.79